Material: AcSmPS
Method: DFT, PBE-GGA
State: relaxed Values from VASP.

Cell and atoms, written as Quantum ESPRESSO input:
```
&SYSTEM
  ibrav = 0, nat = 12, ntyp = 4
/
ATOMIC_SPECIES
Ac 227.00 Ac.upf
Sm 150.36 Sm.upf
P 30.97 P.upf
S 32.06 S.upf
ATOMIC_POSITIONS angstrom
Ac 0.000 0.000 0.000
Ac 0.000 2.386 14.673
Ac 2.067 1.193 7.336
Sm 0.000 0.000 3.926
Sm 0.000 2.386 18.599
Sm 2.067 1.193 11.262
P 0.000 0.000 12.849
P 0.000 2.386 5.512
P 2.067 1.193 20.185
S 0.000 0.000 9.380
S 0.000 2.386 2.043
S 2.067 1.193 16.716
CELL_PARAMETERS angstrom
4.133 0.000 0.000
-2.067 3.580 0.000
0.000 0.000 22.009
```

Summary:
- DFT total energy: -75.318 eV for the cell shown
- E_form (uncorrected): -1685 meV per atom
- M_tot: 0.00 μB per formula unit
- Space-group type: R3m
- DOS(E_F): 0.600 states/eV/atom